Record 1
VASP calculation (PBE) on a geometry-optimized ZrTi4S structure.

Results
E ... -0.570 Ry per atom
Calculated volume ... 109.28 Å³/f.u.
Energy relative to the elements, uncorrected ... -0.378 eV per atom
M_tot ... 0.00 μB/atom
Theoretical density ... 4.78 g/cm³

Geometry as CIF:
```
data_ZrTi4S
_chemical_formula_sum 'Zr4 Ti16 S4'
_cell_length_a 13.8629
_cell_length_b 5.5013
_cell_length_c 6.0324
_cell_angle_alpha 90.00
_cell_angle_beta 108.16
_cell_angle_gamma 90.00
_symmetry_space_group_name_H-M 'C 1 2/c 1'
_symmetry_Int_Tables_number 15
loop_
_symmetry_equiv_pos_as_xyz
'x,y,z'
'-x,-y,-z'
'-x,y,-z+1/2'
'x,-y,z+1/2'
'x+1/2,y+1/2,z'
'-x+1/2,-y+1/2,-z'
'-x+1/2,y+1/2,-z+1/2'
'x+1/2,-y+1/2,z+1/2'
loop_
_atom_site_label
_atom_site_type_symbol
_atom_site_fract_x
_atom_site_fract_y
_atom_site_fract_z
_atom_site_occupancy
Zr1 Zr 0.0000 0.1057 0.2500 1
Ti1 Ti 0.0887 0.4210 0.9536 1
Ti2 Ti 0.1962 0.1091 0.6225 1
S1 S 0.2500 0.2500 0.0000 1
```


Record 2
VASP calculation (PBE) on a geometry-optimized ZrTiS6 structure.

Results
E ... -0.457 Ry per atom
Calculated volume ... 173.28 Å³/f.u.
Energy relative to the elements, uncorrected ... -1.069 eV per atom
M_tot ... 0.00 μB/atom
Theoretical density ... 3.18 g/cm³

Geometry as CIF:
```
data_ZrTiS6
_chemical_formula_sum 'Zr1 Ti1 S6'
_cell_length_a 5.1198
_cell_length_b 3.5443
_cell_length_c 9.6051
_cell_angle_alpha 90.00
_cell_angle_beta 96.20
_cell_angle_gamma 90.00
_symmetry_space_group_name_H-M 'P 1 m 1'
_symmetry_Int_Tables_number 6
loop_
_symmetry_equiv_pos_as_xyz
'x,y,z'
'x,-y,z'
loop_
_atom_site_label
_atom_site_type_symbol
_atom_site_fract_x
_atom_site_fract_y
_atom_site_fract_z
_atom_site_occupancy
Zr1 Zr 0.0000 0.0000 0.0000 1
Ti1 Ti 0.4420 0.5000 0.7140 1
S1 S 0.2119 0.0000 0.5589 1
S2 S 0.2371 0.5000 0.1694 1
S3 S 0.4795 0.0000 0.8990 1
S4 S 0.6102 0.0000 0.5596 1
S5 S 0.8310 0.5000 0.1691 1
S6 S 0.9600 0.5000 0.8022 1
```


Record 3
VASP calculation (PBE) on a geometry-optimized ZrTi2S5 structure.

Results
E ... -0.493 Ry per atom
Calculated volume ... 198.76 Å³/f.u.
Energy relative to the elements, uncorrected ... -1.083 eV per atom
M_tot ... 0.09 μB/atom
Theoretical density ... 2.90 g/cm³

Geometry as CIF:
```
data_ZrTi2S5
_chemical_formula_sum 'Zr4 Ti8 S20'
_cell_length_a 4.8002
_cell_length_b 12.6565
_cell_length_c 13.0863
_cell_angle_alpha 90.00
_cell_angle_beta 90.00
_cell_angle_gamma 90.00
_symmetry_space_group_name_H-M 'F m m m'
_symmetry_Int_Tables_number 69
_symmetry_space_group_name_Hall '-F 2 2'
loop_
_atom_site_label
_atom_site_type_symbol
_atom_site_fract_x
_atom_site_fract_y
_atom_site_fract_z
_atom_site_occupancy
Zr1 Zr 0.0000 0.0000 0.0000 1
Ti1 Ti 0.0000 0.1892 0.5000 1
S1 S 0.0000 0.0000 0.5000 1
S2 S 0.0000 0.1658 0.1180 1
```


Record 4
VASP calculation (PBE) on a geometry-optimized ZrTi4S8 structure.

Results
E ... -0.519 Ry per atom
Calculated volume ... 246.55 Å³/f.u.
Energy relative to the elements, uncorrected ... -1.430 eV per atom
M_tot ... 0.00 μB/atom
Theoretical density ... 3.63 g/cm³

Geometry as CIF:
```
data_ZrTi4S8
_chemical_formula_sum 'Zr3 Ti12 S24'
_cell_length_a 6.9004
_cell_length_b 6.9004
_cell_length_c 17.9365
_cell_angle_alpha 90.00
_cell_angle_beta 90.00
_cell_angle_gamma 120.00
_symmetry_space_group_name_H-M 'R -3 m'
_symmetry_Int_Tables_number 166
_symmetry_space_group_name_Hall '-R 3 2"'
loop_
_atom_site_label
_atom_site_type_symbol
_atom_site_fract_x
_atom_site_fract_y
_atom_site_fract_z
_atom_site_occupancy
Zr1 Zr 0.0000 0.0000 0.0000 1
Ti1 Ti 0.0000 0.0000 0.5000 1
Ti2 Ti 0.0000 0.5000 0.5000 1
S1 S 0.0000 0.0000 0.2438 1
S2 S 0.0079 0.5040 0.2481 1
```


Record 5
VASP calculation (PBE) on a geometry-optimized Zr2TiS4 structure.

Results
E ... -0.547 Ry per atom
Calculated volume ... 134.46 Å³/f.u.
Energy relative to the elements, uncorrected ... -1.516 eV per atom
M_tot ... 0.12 μB/atom
Theoretical density ... 4.43 g/cm³

Geometry as CIF:
```
data_Zr2TiS4
_chemical_formula_sum 'Zr4 Ti2 S8'
_cell_length_a 13.7902
_cell_length_b 3.4958
_cell_length_c 6.2319
_cell_angle_alpha 90.00
_cell_angle_beta 116.48
_cell_angle_gamma 90.00
_symmetry_space_group_name_H-M 'C 1 2/m 1'
_symmetry_Int_Tables_number 12
loop_
_symmetry_equiv_pos_as_xyz
'x,y,z'
'-x,-y,-z'
'-x,y,-z'
'x,-y,z'
'x+1/2,y+1/2,z'
'-x+1/2,-y+1/2,-z'
'-x+1/2,y+1/2,-z'
'x+1/2,-y+1/2,z'
loop_
_atom_site_label
_atom_site_type_symbol
_atom_site_fract_x
_atom_site_fract_y
_atom_site_fract_z
_atom_site_occupancy
Zr1 Zr 0.2448 0.0000 0.2564 1
Ti1 Ti 0.0000 0.5000 0.5000 1
S1 S 0.1163 0.5000 0.2939 1
S2 S 0.1195 0.0000 0.7851 1
```


Record 6
VASP calculation (PBE) on a geometry-optimized ZrTiS3 structure.

Results
E ... -0.470 Ry per atom
Calculated volume ... 98.59 Å³/f.u.
Energy relative to the elements, uncorrected ... -0.626 eV per atom
M_tot ... 0.25 μB/atom
Energy above the lowest structure with this stoichiometry ... 798.6 meV per atom
Theoretical density ... 3.96 g/cm³

Geometry as CIF:
```
data_ZrTiS3
_chemical_formula_sum 'Zr1 Ti1 S3'
_cell_length_a 4.6196
_cell_length_b 4.6196
_cell_length_c 4.6196
_cell_angle_alpha 90.00
_cell_angle_beta 90.00
_cell_angle_gamma 90.00
_symmetry_space_group_name_H-M 'P m -3 m'
_symmetry_Int_Tables_number 221
_symmetry_space_group_name_Hall '-P 4 2 3'
loop_
_atom_site_label
_atom_site_type_symbol
_atom_site_fract_x
_atom_site_fract_y
_atom_site_fract_z
_atom_site_occupancy
Zr1 Zr 0.0000 0.0000 0.0000 1
Ti1 Ti 0.5000 0.5000 0.5000 1
S1 S 0.0000 0.5000 0.5000 1
```